# 1
! MnSb2Au | Alexandria via LeMat-Bulk | PBE-GGA | optimized geometry; values from VASP
&SYSTEM
  ibrav = 0, nat = 4, ntyp = 3
/
ATOMIC_SPECIES
Au 196.97 Au.upf
Mn 54.94 Mn.upf
Sb 121.76 Sb.upf
ATOMIC_POSITIONS crystal
Au 0.500 0.500 0.000
Mn 0.750 0.250 0.500
Sb 0.000 0.000 0.000
Sb 0.250 0.750 0.500
CELL_PARAMETERS angstrom
-5.250 2.411 1.264
-3.960 1.090 -4.255
3.475 -4.407 1.867
! formation energy from raw total energies	0.21	eV/atom
! electronic total energy	-4.965	eV/atom
! distance to the lowest polymorph of the same formula	178	meV per atom



# 2
! KYTl | Alexandria via LeMat-Bulk | PBE-GGA | optimized geometry; values from VASP
&SYSTEM
  ibrav = 0, nat = 3, ntyp = 3
/
ATOMIC_SPECIES
K 39.10 K.upf
Tl 204.38 Tl.upf
Y 88.91 Y.upf
ATOMIC_POSITIONS crystal
K 0.000 0.000 0.027
Tl 0.667 0.333 0.351
Y 0.333 0.667 0.622
CELL_PARAMETERS angstrom
-1.783 1.747 -2.802
1.824 -3.214 -0.652
-7.509 -4.644 1.882
! electronic total energy	-3.203	eV/atom
! E_form	0.106	eV per atom
! distance to the lowest polymorph of the same formula	241	meV per atom